Entry 1:
5
Lattice="5.2936 0.0000 0.0000 0.0000 5.2936 0.0000 0.0000 0.0000 5.3262" Properties=species:S:1:pos:R:3 comment="OsPbSCl2 (PBE-GGA, relaxed)" raw_formation_energy_mev_per_atom=1163 relative_energy_ev_per_atom=1.0722 dos_ef_per_ev_cell=7.58 magmom_total_mub_per_cell=5.2 pbc="T T T"
Os 0.0000 0.0000 0.0000
Pb 2.6468 2.6468 2.6631
S 2.6468 2.6468 0.0000
Cl 0.0000 2.6468 2.6631
Cl 2.6468 0.0000 2.6631



Entry 2:
16
Lattice="5.5763 0.0000 0.0000 0.0000 5.5763 0.0000 0.0000 0.0000 11.1595" Properties=species:S:1:pos:R:3 comment="FeSiSe2 (PBE-GGA, relaxed)" raw_formation_energy_mev_per_atom=110 dos_ef_per_ev_cell=4.99 magmom_total_mub_per_cell=8.1 pbc="T T T"
Fe 0.0000 0.0000 0.0000
Fe 0.0000 2.7882 2.7899
Fe 2.7882 0.0000 8.3696
Fe 2.7882 2.7882 5.5798
Si 0.0000 0.0000 5.5798
Si 0.0000 2.7882 8.3696
Si 2.7882 0.0000 2.7899
Si 2.7882 2.7882 0.0000
Se 1.2991 1.3941 1.3949
Se 1.3941 4.0873 4.1848
Se 1.3941 4.2772 9.7646
Se 1.4891 1.3941 6.9747
Se 4.0873 4.1822 6.9747
Se 4.1822 1.2991 9.7646
Se 4.1822 1.4891 4.1848
Se 4.2772 4.1822 1.3949



Entry 3:
4
Lattice="3.8305 0.0000 0.0000 0.0000 3.8305 0.0000 0.0000 0.0000 7.8173" Properties=species:S:1:pos:R:3 comment="HoEr2Te (PBE-GGA, relaxed)" raw_formation_energy_mev_per_atom=-536 relative_energy_ev_per_atom=0.0955 dos_ef_per_ev_cell=4.73 magmom_total_mub_per_cell=0.0 pbc="T T T"
Ho 0.0000 0.0000 0.0000
Er 1.9152 1.9152 2.1359
Er 1.9152 1.9152 5.6814
Te 0.0000 0.0000 3.9087



Entry 4:
4
Lattice="3.3841 0.0000 0.0000 0.0000 3.3841 0.0000 0.0000 0.0000 8.4386" Properties=species:S:1:pos:R:3 comment="Dy2ThH (PBE-GGA, relaxed)" relative_energy_ev_per_atom=0.1476 dos_ef_per_ev_cell=3.84 magmom_total_mub_per_cell=0.0 pbc="T T T"
Dy 0.0000 0.0000 1.6509
Dy 0.0000 0.0000 6.7878
Th 1.6921 1.6921 4.2193
H 1.6921 1.6921 0.0000



Entry 5:
5
Lattice="4.5419 0.0000 0.0000 0.0000 4.5419 0.0000 0.0000 0.0000 4.5419" Properties=species:S:1:pos:R:3 comment="Ag3BPb (PBE-GGA, relaxed)" ef_ev_per_atom=0.3923 relative_energy_ev_per_atom=0.0000 dos_ef_per_ev_cell=1.29 magmom_total_mub_per_cell=0.0 pbc="T T T"
Ag 0.0000 0.0000 2.2710
Ag 0.0000 2.2710 0.0000
Ag 2.2710 0.0000 0.0000
B 0.0000 0.0000 0.0000
Pb 2.2710 2.2710 2.2710



Entry 6:
11
Lattice="-1.7279 4.4442 11.4796 1.7279 -4.4442 11.4796 1.7279 4.4442 -11.4796" Properties=species:S:1:pos:R:3 comment="Tb2Ho5Tm4 (PBE-GGA, relaxed)" ef_ev_per_atom=0.2208 relative_energy_ev_per_atom=0.1211 dos_ef_per_ev_cell=15.81 magmom_total_mub_per_cell=0.0 pbc="T T T"
Tb 0.0000 0.0000 5.3198
Tb 0.0000 0.0000 17.6394
Ho 1.7279 2.6921 -3.2856
Ho 1.7279 2.6921 3.2856
Ho 0.0000 4.4442 0.0000
Ho 0.0000 1.7522 8.1940
Ho 0.0000 1.7522 14.7653
Tm 0.0000 0.0000 2.2268
Tm 1.7279 1.6717 0.0000
Tm 0.0000 2.7725 11.4796
Tm 0.0000 0.0000 20.7324